Compound: LiErTl2
Source: the Alexandria database
Functional: SCAN
Structure: single point on PBEsol structure

a = 5.0667 Å, b = 5.0667 Å, c = 5.0667 Å
α = 60.00°, β = 60.00°, γ = 60.00°
Last column: nearest neighbours and their distance in Å.
Fractional coordinates of all 4 atoms:
Tl: 0.2500 0.2500 0.2500  4 Li 3.10, 4 Er 3.10
Tl: 0.7500 0.7500 0.7500  4 Li 3.10, 4 Er 3.10
Er: 0.5000 0.5000 0.5000  8 Tl 3.10
Li: 0.0000 0.0000 0.0000  8 Tl 3.10

Calculated values
The value obtained for the formation enthalpy at 0 K is -469.9 meV/atom. The density of states at the Fermi level is 0.67 states/eV/f.u. As for the size of the total moment: 0.00 μB per formula unit. For the volume, the calculation gives 92 Å³/cell.

***

Compound: Ir2RuPt
Source: the Alexandria database
Functional: SCAN
Structure: single point on PBEsol structure

a = 2.7070 Å, b = 4.6910 Å, c = 4.6973 Å
α = 99.51°, β = 106.75°, γ = 90.00°
Last column: nearest neighbours and their distance in Å.
Fractional coordinates of all 4 atoms:
Ru: 0.0000 0.5000 0.0000  6 Ir 2.68-2.72, 2 Ru 2.71, 4 Pt 2.71
Ir: 0.2539 0.2569 0.5077  6 Ir 2.66-2.75, 3 Ru 2.68-2.72, 3 Pt 2.70-2.75
Ir: 0.7461 0.7431 0.4923  6 Ir 2.66-2.75, 3 Ru 2.68-2.72, 3 Pt 2.70-2.75
Pt: 0.5000 0.0000 0.0000  6 Ir 2.70-2.75, 2 Pt 2.71, 4 Ru 2.71

Calculated values
The value obtained for the formation enthalpy at 0 K is 1.9 meV/atom. The density of states at the Fermi level is 3.46 states/eV/f.u. As for the size of the total moment: 0.00 μB per formula unit. The excess energy over the best structure of this formula in the dataset is 0.21 kcal/mol of atoms. For the volume, the calculation gives 56 Å³/cell.